Record 1
# CaCu3Si (GGA-PBE, optimized geometry)
data_CaCu3Si
_chemical_formula_sum 'Ca1 Cu3 Si1'
_space_group_name_H-M_alt 'P 1'
_space_group_IT_number 1
_space_group_name_Hall 'P 1'
_cell_length_a 4.9219
_cell_length_b 4.9219
_cell_length_c 4.9219
_cell_angle_alpha 90.00
_cell_angle_beta 90.00
_cell_angle_gamma 90.00
loop_
_atom_site_label
_atom_site_type_symbol
_atom_site_fract_x
_atom_site_fract_y
_atom_site_fract_z
Ca1 Ca 0.0000 0.0000 0.0000
Cu1 Cu 0.0000 0.0000 0.5000
Cu2 Cu 0.0000 0.5000 0.0000
Cu3 Cu 0.5000 0.0000 0.0000
Si1 Si 0.5000 0.5000 0.5000
# ΔE to the lowest computed polymorph: 37.747 kcal/mol of atoms
# Total moment: 0.0000 μB per atom
# E_form (uncorrected): 1.483 eV/atom

***

Record 2
# Ca3Cu2Si4 (GGA-PBE, optimized geometry)
data_Ca3Cu2Si4
_chemical_formula_sum 'Ca3 Cu2 Si4'
_space_group_name_H-M_alt 'P 1'
_space_group_IT_number 1
_space_group_name_Hall 'P 1'
_cell_length_a 5.6241
_cell_length_b 5.6241
_cell_length_c 8.2009
_cell_angle_alpha 101.51
_cell_angle_beta 101.51
_cell_angle_gamma 43.47
loop_
_atom_site_label
_atom_site_type_symbol
_atom_site_fract_x
_atom_site_fract_y
_atom_site_fract_z
Ca1 Ca 0.0000 0.0000 0.0000
Ca2 Ca 0.3761 0.3761 0.3045
Ca3 Ca 0.6239 0.6239 0.6955
Cu1 Cu 0.3222 0.3222 0.6532
Cu2 Cu 0.6778 0.6778 0.3468
Si1 Si 0.0934 0.0934 0.4278
Si2 Si 0.2815 0.2815 0.9336
Si3 Si 0.7185 0.7185 0.0664
Si4 Si 0.9066 0.9066 0.5722
# Total moment: 0.0000 μB per atom
# E_form (uncorrected): -0.409 eV/atom